(1)
TbSm5Tm: relaxed, PBE-GGA.

Results
- mass density (g cm⁻³) = 7.46
- DFT formation energy (eV/atom) = 0.186
- V (Å³/f.u.) = 240.2

abc: 6.2481 6.2543 6.9442
angles: 99.63 99.44 112.05
Space group P-1 (No. 2)
One atom of each set of equivalent atoms:
Tb 0.0000 0.0000 0.0000
Sm 0.0948 0.5254 0.2710
Sm 0.4759 0.9051 0.7295
Sm 0.5000 0.5000 0.0000
Tm 0.0000 0.0000 0.5000


(2)
TbSmTm4: relaxed, PBE-GGA.

Results
- mass density (g cm⁻³) = 7.34
- DFT formation energy (eV/atom) = 0.753
- V (Å³/f.u.) = 222.8

abc: 5.3691 5.3691 7.7284
angles: 90.00 90.00 90.00
Space group P4/mmm (No. 123)
One atom of each set of equivalent atoms:
Tb 0.0000 0.0000 0.0000
Sm 0.5000 0.5000 0.5000
Tm 0.0000 0.5000 0.2465


(3)
Tb2Sm12Tm5: relaxed, PBE-GGA.

Results
- mass density (g cm⁻³) = 7.82
- DFT formation energy (eV/atom) = 0.126
- V (Å³/f.u.) = 630.1

abc: 15.7906 9.2459 8.6339
angles: 90.00 91.38 90.00
Space group C2/m (No. 12)
One atom of each set of equivalent atoms:
Tb 0.0000 0.1731 0.0000
Sm 0.0616 0.0000 0.3397
Sm 0.0868 0.5000 0.8829
Sm 0.1273 0.1949 0.6698
Sm 0.1533 0.3186 0.2373
Tm 0.0000 0.5000 0.5000
Tm 0.2000 0.0000 0.0212
Tm 0.2308 0.5000 0.5694


(4)
Tb5SmTm: relaxed, PBE-GGA.

Results
- mass density (g cm⁻³) = 8.19
- DFT formation energy (eV/atom) = 0.188
- V (Å³/f.u.) = 225.8

abc: 11.7250 6.7298 12.2776
angles: 90.00 111.17 90.00
Space group C2/c (No. 15)
One atom of each set of equivalent atoms:
Tb 0.0000 0.0890 0.2500
Tb 0.0799 0.2368 0.0013
Tb 0.2181 0.1313 0.7434
Sm 0.0000 0.4695 0.7500
Tm 0.2500 0.2500 0.5000


(5)
Tb3Sm4Tm4: relaxed, PBE-GGA.

Results
- mass density (g cm⁻³) = 8.14
- DFT formation energy (eV/atom) = 0.153
- V (Å³/f.u.) = 357.9

abc: 10.5541 5.6525 11.9983
angles: 90.00 90.00 90.00
Space group Amm2 (No. 38)
One atom of each set of equivalent atoms:
Tb 0.0000 0.0000 0.0000
Tb 0.2891 0.0000 0.1558
Sm 0.0000 0.0000 0.7063
Sm 0.2093 0.0000 0.4997
Sm 0.5000 0.0000 0.6297
Tm 0.0000 0.0000 0.2995
Tm 0.3010 0.0000 0.8492
Tm 0.5000 0.0000 0.3577


(6)
Tb4Sm2Tm3: relaxed, PBE-GGA.

Results
- mass density (g cm⁻³) = 8.41
- DFT formation energy (eV/atom) = 0.092
- V (Å³/f.u.) = 284.9

abc: 16.0681 11.6107 6.1410
angles: 90.00 95.92 90.00
Space group C2/c (No. 15)
One atom of each set of equivalent atoms:
Tb 0.0472 0.1416 0.0138
Tb 0.2149 0.3594 0.8472
Sm 0.1205 0.3560 0.3210
Tm 0.0000 0.4019 0.7500
Tm 0.1658 0.0980 0.5887


(7)
TbSm4Tm15: relaxed, PBE-GGA.

Results
- mass density (g cm⁻³) = 8.89
- DFT formation energy (eV/atom) = 0.026
- V (Å³/f.u.) = 615.7

abc: 4.9792 4.9792 24.8331
angles: 90.00 90.00 90.00
Space group P4/mmm (No. 123)
One atom of each set of equivalent atoms:
Tb 0.0000 0.0000 0.0000
Sm 0.0000 0.0000 0.1997
Sm 0.0000 0.0000 0.3999
Tm 0.0000 0.5000 0.0993
Tm 0.0000 0.5000 0.2997
Tm 0.0000 0.5000 0.5000
Tm 0.5000 0.5000 0.0000
Tm 0.5000 0.5000 0.1995
Tm 0.5000 0.5000 0.3999


(8)
Tb15SmTm4: relaxed, PBE-GGA.

Results
- mass density (g cm⁻³) = 8.43
- DFT formation energy (eV/atom) = 0.018
- V (Å³/f.u.) = 632.1

abc: 5.0193 5.0193 25.0884
angles: 90.00 90.00 90.00
Space group P4/mmm (No. 123)
One atom of each set of equivalent atoms:
Tb 0.0000 0.0000 0.0000
Tb 0.0000 0.0000 0.2016
Tb 0.0000 0.0000 0.4004
Tb 0.0000 0.5000 0.1015
Tb 0.0000 0.5000 0.3008
Tb 0.0000 0.5000 0.5000
Sm 0.5000 0.5000 0.0000
Tm 0.5000 0.5000 0.2012
Tm 0.5000 0.5000 0.4004


(9)
Tb3SmTm2: relaxed, PBE-GGA.

Results
- mass density (g cm⁻³) = 8.46
- DFT formation energy (eV/atom) = -0.004
- V (Å³/f.u.) = 189.4

abc: 7.1472 7.1508 8.8040
angles: 78.23 78.30 60.02
Space group P-1 (No. 2)
One atom of each set of equivalent atoms:
Tb 0.1390 0.1399 0.1642
Tb 0.2491 0.2506 0.5012
Tb 0.3610 0.8603 0.8353
Sm 0.2508 0.7491 0.4983
Tm 0.1398 0.6377 0.1650
Tm 0.3598 0.3618 0.8354


(10)
TbSm7Tm4: relaxed, PBE-GGA.

Results
- mass density (g cm⁻³) = 8.06
- DFT formation energy (eV/atom) = 0.001
- V (Å³/f.u.) = 388.6

abc: 6.2481 7.2068 8.8771
angles: 89.98 76.45 89.94
Space group P-1 (No. 2)
One atom of each set of equivalent atoms:
Tb 0.0000 0.0000 0.0000
Sm 0.0000 0.5000 0.0000
Sm 0.2218 0.0000 0.3349
Sm 0.2801 0.2510 0.6645
Sm 0.4988 0.7471 0.9987
Tm 0.2195 0.5000 0.3357
Tm 0.2780 0.7470 0.6661


(11)
Tb3SmTm: relaxed, PBE-GGA.

Results
- mass density (g cm⁻³) = 8.25
- DFT formation energy (eV/atom) = 0.048
- V (Å³/f.u.) = 160.3

abc: 15.2938 13.1562 6.5609
angles: 90.00 103.71 90.00
Space group C2/c (No. 15)
One atom of each set of equivalent atoms:
Tb 0.0998 0.1832 0.4514
Tb 0.2007 0.3130 0.1507
Tb 0.2016 0.4257 0.6490
Sm 0.0000 0.3133 0.7500
Sm 0.0000 0.4241 0.2500
Tm 0.0996 0.0748 0.9502


(12)
Tb7SmTm2: relaxed, PBE-GGA.

Results
- mass density (g cm⁻³) = 6.74
- DFT formation energy (eV/atom) = 0.690
- V (Å³/f.u.) = 394.1

abc: 8.7572 16.0140 5.6203
angles: 90.00 90.00 90.00
Space group Cmmm (No. 65)
One atom of each set of equivalent atoms:
Tb 0.0000 0.0000 0.0000
Tb 0.0000 0.2814 0.5000
Tb 0.1774 0.3847 0.0000
Sm 0.0000 0.5000 0.5000
Tm 0.0000 0.2039 0.0000


(13)
Tb4Sm4Tm3: relaxed, PBE-GGA.

Results
- mass density (g cm⁻³) = 8.17
- DFT formation energy (eV/atom) = 0.042
- V (Å³/f.u.) = 354.3

abc: 36.0222 5.5826 3.5410
angles: 90.00 95.61 90.00
Space group C2/m (No. 12)
One atom of each set of equivalent atoms:
Tb 0.0437 0.0000 0.0421
Tb 0.1819 0.5000 0.6796
Sm 0.0959 0.5000 0.0938
Sm 0.2212 0.0000 0.2195
Tm 0.0000 0.5000 0.5000
Tm 0.1298 0.0000 0.6272


(14)
TbSmTm14: relaxed, PBE-GGA.

Results
- mass density (g cm⁻³) = 9.08
- DFT formation energy (eV/atom) = 0.061
- V (Å³/f.u.) = 488.9

abc: 10.9611 8.0336 11.1040
angles: 90.00 90.00 90.00
Space group Amm2 (No. 38)
One atom of each set of equivalent atoms:
Tb 0.0000 0.0000 0.0000
Sm 0.0000 0.0000 0.5534
Tm 0.0000 0.2048 0.2745
Tm 0.2350 0.0000 0.7581
Tm 0.2520 0.2102 0.4803
Tm 0.2687 0.0000 0.2031
Tm 0.5000 0.0000 0.4109
Tm 0.5000 0.0000 0.9610
Tm 0.5000 0.2055 0.6893


(15)
Tb9Sm2Tm3: relaxed, PBE-GGA.

Results
- mass density (g cm⁻³) = 8.02
- DFT formation energy (eV/atom) = 0.180
- V (Å³/f.u.) = 463.4

abc: 17.1217 10.2966 5.5554
angles: 90.00 108.87 90.00
Space group Cm (No. 8)
One atom of each set of equivalent atoms:
Tb 0.0000 0.0000 0.0000
Tb 0.0145 0.3318 0.0121
Tb 0.1168 0.1689 0.6148
Tb 0.2085 0.3365 0.2060
Tb 0.3151 0.3350 0.8123
Sm 0.4014 0.1774 0.3987
Tm 0.1087 0.5000 0.6064
Tm 0.2059 0.0000 0.2036
Tm 0.3227 0.0000 0.8201


(16)
TbSm3Tm6: relaxed, PBE-GGA.

Results
- mass density (g cm⁻³) = 8.45
- DFT formation energy (eV/atom) = 0.150
- V (Å³/f.u.) = 319.2

abc: 10.9746 18.8404 6.1757
angles: 90.00 90.00 90.00
Space group Cmc2_1 (No. 36)
One atom of each set of equivalent atoms:
Tb 0.0000 0.2068 0.0000
Sm 0.0000 0.3917 0.9191
Sm 0.1722 0.1097 0.3123
Tm 0.0000 0.0466 0.7662
Tm 0.0000 0.2823 0.4933
Tm 0.1642 0.4520 0.3870
Tm 0.2498 0.2109 0.7200


(17)
Tb5Sm2Tm12: relaxed, PBE-GGA.

Results
- mass density (g cm⁻³) = 8.61
- DFT formation energy (eV/atom) = 0.130
- V (Å³/f.u.) = 602.5

abc: 15.4690 9.1957 8.4766
angles: 90.00 91.94 90.00
Space group C2/m (No. 12)
One atom of each set of equivalent atoms:
Tb 0.0000 0.0000 0.0000
Tb 0.2031 0.5000 0.5145
Tb 0.2312 0.0000 0.0739
Sm 0.0000 0.3218 0.5000
Tm 0.0566 0.5000 0.8322
Tm 0.0822 0.0000 0.3771
Tm 0.1288 0.3096 0.1597
Tm 0.1517 0.1792 0.7429


(18)
Tb8Sm2Tm3: relaxed, PBE-GGA.

Results
- mass density (g cm⁻³) = 7.97
- DFT formation energy (eV/atom) = 0.229
- V (Å³/f.u.) = 433.0

abc: 7.6008 20.5062 5.5567
angles: 90.00 90.00 90.00
Space group Cmmm (No. 65)
One atom of each set of equivalent atoms:
Tb 0.0000 0.1296 0.0000
Tb 0.0000 0.3362 0.0000
Tb 0.2109 0.3943 0.5000
Sm 0.0000 0.2408 0.5000
Tm 0.0000 0.0000 0.5000
Tm 0.2149 0.5000 0.0000


| no. | magnetization (μB per atom) |
| --- | --- |
| 1 | 0.0000 |
| 2 | 0.0000 |
| 3 | 0.0000 |
| 4 | 0.0000 |
| 5 | 0.0000 |
| 6 | 0.0000 |
| 7 | 0.0000 |
| 8 | 0.0000 |
| 9 | 0.0000 |
| 10 | 0.0000 |
| 11 | 0.0000 |
| 12 | 0.0000 |
| 13 | 0.0000 |
| 14 | 0.0002 |
| 15 | 0.0209 |
| 16 | 0.0002 |
| 17 | 0.0000 |
| 18 | 0.0000 |